The following is a PBE calculation of a relaxed AcDy4Y4 crystal, from Alexandria via LeMat-Bulk.

Cell and atoms, written as extended XYZ:
```
18
Lattice="6.292 0.000 0.000 1.059 8.908 0.000 0.016 2.232 10.664" Properties=species:S:1:pos:R:3 pbc="T T T"
Ac 2.100 5.006 2.665
Ac 5.268 6.134 7.999
Dy 1.033 1.741 1.468
Dy 1.079 3.257 8.603
Dy 2.107 6.493 9.781
Dy 2.117 5.752 6.222
Dy 5.250 5.388 4.442
Dy 5.260 4.647 0.884
Dy 6.289 7.883 2.062
Dy 6.334 9.399 9.196
Y 1.048 2.518 5.063
Y 3.141 9.003 7.404
Y 3.165 7.511 0.270
Y 3.172 8.286 3.850
Y 4.195 2.854 6.814
Y 4.203 3.629 10.395
Y 4.227 2.137 3.260
Y 6.319 8.622 5.602
```

Properties
ΔE_f: 0.0141 eV/atom
volume: 33.21 Å³ per atom
E_tot: -5.361 eV per atom